(1)
A geometry-optimized Tb12Pr6Er structure, computed with PBE.

Cell: 10.052 10.052 10.052 Å, 112.87 112.87 112.87°
Positions (direct):
Tb  0.000  0.381  0.619
Tb  0.000  0.619  0.381
Tb  0.271  0.271  0.595
Tb  0.271  0.595  0.271
Tb  0.381  0.000  0.619
Tb  0.381  0.619  0.000
Tb  0.405  0.729  0.729
Tb  0.595  0.271  0.271
Tb  0.619  0.000  0.381
Tb  0.619  0.381  0.000
Tb  0.729  0.405  0.729
Tb  0.729  0.729  0.405
Pr  0.125  0.818  0.818
Pr  0.182  0.182  0.875
Pr  0.182  0.875  0.182
Pr  0.818  0.125  0.818
Pr  0.818  0.818  0.125
Pr  0.875  0.182  0.182
Er  0.500  0.500  0.500

## Properties
Energy relative to the elements = 6.23 eV per formula unit
V = 35.037 Å³ per atom
Crystal system = trigonal
VASP energy = -82.6 eV for the cell shown
M_tot = 0.000 Bohr magnetons per cell


(2)
A geometry-optimized LiHg7 structure, computed with PBE.

Cell: 5.564 5.564 8.886 Å, 112.87 112.87 55.27°
Positions (direct):
Li  0.000  0.000  0.000
Hg  0.000  0.000  0.500
Hg  0.232  0.232  0.884
Hg  0.253  0.253  0.359
Hg  0.481  0.481  0.759
Hg  0.519  0.519  0.241
Hg  0.747  0.747  0.641
Hg  0.768  0.768  0.116

## Properties
Energy relative to the elements = -0.65 eV per formula unit
V = 25.397 Å³ per atom
Crystal system = monoclinic
VASP energy = -4.7 eV for the cell shown
M_tot = 0.000 Bohr magnetons per cell


(3)
A geometry-optimized Rb3Na2CeCl9 structure, computed with PBE.

Cell: 7.680 7.680 9.680 Å, 90.00 90.00 120.00°
Positions (direct):
Rb  0.000  0.000  0.000
Rb  0.333  0.667  0.750
Rb  0.667  0.333  0.250
Na  0.333  0.667  0.154
Na  0.667  0.333  0.846
Ce  0.000  0.000  0.500
Cl  0.000  0.500  0.000
Cl  0.160  0.321  0.341
Cl  0.160  0.840  0.341
Cl  0.321  0.160  0.659
Cl  0.500  0.000  0.000
Cl  0.500  0.500  0.000
Cl  0.679  0.840  0.341
Cl  0.840  0.160  0.659
Cl  0.840  0.679  0.659

## Properties
V = 32.965 Å³ per atom
Crystal system = trigonal
VASP energy = -56.8 eV for the cell shown
M_tot = 0.000 Bohr magnetons per cell
Uncorrected formation energy = -1.916 eV per atom


(4)
A geometry-optimized Te2IrRh structure, computed with PBE.

Cell: 5.549 5.549 5.549 Å, 137.73 137.73 61.32°
Positions (direct):
Te  0.000  0.000  0.000
Te  0.750  0.250  0.500
Ir  0.250  0.750  0.500
Rh  0.500  0.500  0.000

## Properties
V = 19.107 Å³ per atom
Crystal system = tetragonal
VASP energy = -20.9 eV for the cell shown
M_tot = 0.000 Bohr magnetons per cell
Uncorrected formation energy = 0.391 eV per atom


(5)
A geometry-optimized Cr2SbCl structure, computed with PBE.

Cell: 6.205 6.205 6.205 Å, 112.73 112.73 103.14°
Positions (direct):
Cr  0.107  0.625  0.982
Cr  0.375  0.357  0.482
Cr  0.643  0.125  0.018
Cr  0.875  0.893  0.518
Sb  0.250  0.750  0.500
Sb  0.500  0.500  0.000
Cl  0.000  0.000  0.000
Cl  0.750  0.250  0.500

## Properties
V = 22.777 Å³ per atom
Crystal system = tetragonal
VASP energy = -49.0 eV for the cell shown
M_tot = 16.000 Bohr magnetons per cell
Uncorrected formation energy = 0.184 eV per atom


(6)
A geometry-optimized K2U3InO12 structure, computed with PBE.

Cell: 7.742 7.742 7.742 Å, 62.71 62.71 62.71°
Positions (direct):
K  0.163  0.163  0.163
K  0.837  0.837  0.837
U  0.000  0.500  0.500
U  0.500  0.000  0.500
U  0.500  0.500  0.000
In  0.500  0.500  0.500
O  0.174  0.568  0.568
O  0.188  0.188  0.556
O  0.188  0.556  0.188
O  0.432  0.432  0.826
O  0.432  0.826  0.432
O  0.444  0.812  0.812
O  0.556  0.188  0.188
O  0.568  0.174  0.568
O  0.568  0.568  0.174
O  0.812  0.444  0.812
O  0.812  0.812  0.444
O  0.826  0.432  0.432

## Properties
V = 19.323 Å³ per atom
Crystal system = trigonal
VASP energy = -144.7 eV for the cell shown
M_tot = 0.000 Bohr magnetons per cell
Uncorrected formation energy = -2.579 eV per atom


(7)
A geometry-optimized Na2TlCu2Cl7 structure, computed with PBE.

Cell: 4.881 4.881 12.188 Å, 101.49 101.49 90.01°
Positions (direct):
Na  0.169  0.169  0.358
Na  0.831  0.831  0.642
Tl  0.000  0.000  0.000
Cu  0.396  0.396  0.792
Cu  0.604  0.604  0.208
Cl  0.103  0.602  0.205
Cl  0.293  0.293  0.592
Cl  0.398  0.897  0.795
Cl  0.500  0.500  0.000
Cl  0.602  0.103  0.205
Cl  0.707  0.707  0.408
Cl  0.897  0.398  0.795

## Properties
V = 23.218 Å³ per atom
Crystal system = monoclinic
VASP energy = -37.7 eV for the cell shown
M_tot = 0.000 Bohr magnetons per cell
Uncorrected formation energy = -0.966 eV per atom


(8)
A geometry-optimized PrSm2Te structure, computed with PBE.

Cell: 11.114 11.114 11.114 Å, 20.38 20.38 20.38°
Positions (direct):
Pr  0.000  0.000  0.000
Sm  0.103  0.103  0.103
Sm  0.897  0.897  0.897
Te  0.500  0.500  0.500

## Properties
V = 36.445 Å³ per atom
Crystal system = trigonal
VASP energy = -18.6 eV for the cell shown
M_tot = 1.252 Bohr magnetons per cell
Uncorrected formation energy = -0.306 eV per atom


(9)
A geometry-optimized CaLa2Cd structure, computed with PBE.

Cell: 3.723 5.832 6.363 Å, 90.00 102.16 90.00°
Positions (direct):
Ca  0.000  0.000  0.000
La  0.306  0.500  0.715
La  0.694  0.500  0.285
Cd  0.500  0.000  0.500

## Properties
Energy relative to the elements = -0.22 eV per formula unit
V = 33.768 Å³ per atom
Crystal system = monoclinic
VASP energy = -13.0 eV for the cell shown
M_tot = 0.000 Bohr magnetons per cell


(10)
A geometry-optimized La3In4 structure, computed with PBE.

Cell: 11.308 11.308 11.308 Å, 160.08 154.54 32.53°
Positions (direct):
La  0.000  0.000  0.000
La  0.304  0.804  0.500
La  0.696  0.196  0.500
In  0.143  0.643  0.500
In  0.433  0.433  0.000
In  0.567  0.567  0.000
In  0.857  0.357  0.500

## Properties
Energy relative to the elements = -3.34 eV per formula unit
V = 30.227 Å³ per atom
Crystal system = orthorhombic
VASP energy = -29.1 eV for the cell shown
M_tot = 0.798 Bohr magnetons per cell


(11)
A geometry-optimized CeGaTcGe2 structure, computed with PBE.

Cell: 5.828 5.628 5.815 Å, 90.00 90.00 90.00°
Positions (direct):
Ce  0.250  0.000  0.217
Ce  0.750  0.000  0.783
Ga  0.250  0.500  0.369
Ga  0.750  0.500  0.631
Tc  0.000  0.500  0.000
Tc  0.500  0.500  0.000
Ge  0.250  0.234  0.733
Ge  0.250  0.766  0.733
Ge  0.750  0.234  0.267
Ge  0.750  0.766  0.267

## Properties
Energy relative to the elements = -2.28 eV per formula unit
V = 19.073 Å³ per atom
Crystal system = orthorhombic
VASP energy = -61.7 eV for the cell shown
M_tot = 0.505 Bohr magnetons per cell